1.
{
  "formula": "KSiP",
  "functional": "GGA-PBE",
  "state": "optimized geometry",
  "space_group": "Cmmm, No. 65",
  "lattice": [[5.072, 0.000, 0.000], [0.000, 4.894, 0.000], [0.000, -2.447, 6.932]],
  "species": ["K", "K", "P", "P", "Si", "Si"],
  "frac_coords": [[0.361, 0.657, 0.549], [0.361, 0.356, 0.946], [0.861, 0.876, 0.987], [0.861, 0.136, 0.507], [0.861, 0.732, 0.247], [0.861, 0.280, 0.247]]
}

***

2.
{
  "formula": "KSiP2",
  "functional": "GGA-PBE",
  "state": "optimized geometry",
  "space_group": "I-42d, No. 122",
  "lattice": [[-3.147, -5.072, 3.852], [0.452, -4.463, -5.508], [2.098, -5.958, 0.419]],
  "species": ["P", "P", "P", "P", "Si", "Si", "K", "K"],
  "frac_coords": [[0.875, 0.771, 0.750], [0.375, 0.479, 0.750], [0.229, 0.625, 0.250], [0.521, 0.125, 0.250], [0.250, 0.750, 0.500], [0.500, 0.500, 0.000], [0.000, 0.000, 0.000], [0.750, 0.250, 0.500]]
}

***

3.
{
  "formula": "KSiP2",
  "functional": "GGA-PBE",
  "state": "optimized geometry",
  "space_group": "Cmmm, No. 65",
  "lattice": [[5.475, 1.041, 0.000], [-1.061, 5.471, 0.000], [0.000, 0.000, 2.590]],
  "species": ["Si", "P", "P", "K"],
  "frac_coords": [[0.500, 0.000, 0.500], [0.500, 0.500, 0.000], [0.000, 0.000, 0.000], [0.000, 0.500, 0.500]]
}

***

4.
{
  "formula": "KSiP",
  "functional": "GGA-PBE",
  "state": "optimized geometry",
  "space_group": "P3m1, No. 156",
  "lattice": [[3.655, 0.000, 0.000], [-1.827, 3.165, 0.000], [0.000, 0.000, 6.317]],
  "species": ["K", "Si", "P"],
  "frac_coords": [[0.000, 0.000, 0.988], [0.333, 0.667, 0.420], [0.667, 0.333, 0.592]]
}

***

| no. | formation energy from raw total energies (eV/atom) |
| --- | --- |
| 1 | -0.16 |
| 2 | -0.10 |
| 3 | 0.57 |
| 4 | -0.23 |